Record 1
The following is a DFT calculation (PBE-GGA) of LiTaCuB after structural relaxation.

Cell: 4.0398 4.0398 4.0398 Å, 60.00 60.00 60.00°
Fractional positions:
Li: 0.0000 0.0000 0.0000
Ta: 0.7500 0.7500 0.7500
Cu: 0.5000 0.5000 0.5000
B: 0.2500 0.2500 0.2500

Calculated values
DFT total energy in eV/atom: -5.315
Total magnetization in μB per atom: 0.000
Space group: F-43m (216)


Record 2
The following is a DFT calculation (PBE-GGA) of LiZnCuB after structural relaxation.

Cell: 3.8807 3.8807 3.8807 Å, 60.00 60.00 60.00°
Fractional positions:
Li: 0.0000 0.0000 0.0000
Zn: 0.2500 0.2500 0.2500
Cu: 0.7500 0.7500 0.7500
B: 0.5000 0.5000 0.5000

Calculated values
DFT total energy in eV/atom: -3.176
Space group: F-43m (216)


Record 3
The following is a DFT calculation (PBE-GGA) of LiZrCuB after structural relaxation.

Cell: 4.1379 4.1379 4.1379 Å, 60.00 60.00 60.00°
Fractional positions:
Li: 0.0000 0.0000 0.0000
Zr: 0.7500 0.7500 0.7500
Cu: 0.5000 0.5000 0.5000
B: 0.2500 0.2500 0.2500

Calculated values
DFT total energy in eV/atom: -4.917
Total magnetization in μB per atom: 0.000
Space group: F-43m (216)


Record 4
The following is a DFT calculation (PBE-GGA) of LiZrCuB after structural relaxation.

Cell: 4.1104 4.1104 4.1104 Å, 60.00 60.00 60.00°
Fractional positions:
Li: 0.0000 0.0000 0.0000
Zr: 0.2500 0.2500 0.2500
Cu: 0.7500 0.7500 0.7500
B: 0.5000 0.5000 0.5000

Calculated values
DFT total energy in eV/atom: -5.121
Total magnetization in μB per atom: 0.000
Space group: F-43m (216)


Record 5
The following is a DFT calculation (PBE-GGA) of Lu3CuB2 after structural relaxation.

Cell: 3.5568 3.5568 20.6607 Å, 90.00 90.00 120.00°
Fractional positions:
Lu: 0.0000 0.0000 0.0000
Lu: 0.0000 0.0000 0.5000
Lu: 0.3333 0.6667 0.1493
Lu: 0.3333 0.6667 0.3507
Lu: 0.6667 0.3333 0.6493
Lu: 0.6667 0.3333 0.8507
Cu: 0.0000 0.0000 0.2500
Cu: 0.0000 0.0000 0.7500
B: 0.3333 0.6667 0.5799
B: 0.3333 0.6667 0.9201
B: 0.6667 0.3333 0.0799
B: 0.6667 0.3333 0.4201

Calculated values
DFT total energy in eV/atom: -5.035
Total magnetization in μB per atom: 0.002
Space group: P6_3/mmc (194)


Record 6
The following is a DFT calculation (PBE-GGA) of LuNbCuB after structural relaxation.

Cell: 4.5091 4.5091 4.5091 Å, 60.00 60.00 60.00°
Fractional positions:
Lu: 0.0000 0.0000 0.0000
Nb: 0.7500 0.7500 0.7500
Cu: 0.5000 0.5000 0.5000
B: 0.2500 0.2500 0.2500

Calculated values
DFT total energy in eV/atom: -5.268
Total magnetization in μB per atom: 0.721
Space group: F-43m (216)


Record 7
The following is a DFT calculation (PBE-GGA) of LuNbCuB after structural relaxation.

Cell: 4.4029 4.4029 4.4029 Å, 60.00 60.00 60.00°
Fractional positions:
Lu: 0.0000 0.0000 0.0000
Nb: 0.2500 0.2500 0.2500
Cu: 0.7500 0.7500 0.7500
B: 0.5000 0.5000 0.5000

Calculated values
DFT total energy in eV/atom: -5.375
Total magnetization in μB per atom: 0.200
Space group: F-43m (216)


Record 8
The following is a DFT calculation (PBE-GGA) of LuCuNiB after structural relaxation.

Cell: 4.1928 4.1928 4.1928 Å, 60.00 60.00 60.00°
Fractional positions:
Lu: 0.0000 0.0000 0.0000
Cu: 0.7500 0.7500 0.7500
Ni: 0.2500 0.2500 0.2500
B: 0.5000 0.5000 0.5000

Calculated values
DFT total energy in eV/atom: -4.896
Total magnetization in μB per atom: 0.000
Space group: F-43m (216)